--- i ---
# Ho3Cu

A relaxed structure of Ho3Cu (PBE, the Alexandria database).

Values from the calculation:
DOS(E_F)   1.158 states/eV/atom
Total magnetization   0.00 μB per atom
V   104.1 Å³/cell

Cell: 3.602 5.240 6.366 Å, 114.30 106.43 90.00°
Element x y z (fractional)
Ho 0.295 0.710 0.589
Ho 0.500 0.416 0.000
Ho 0.705 0.121 0.411
Cu 0.000 0.920 0.000

--- ii ---
# Ho3Cu

A relaxed structure of Ho3Cu (PBE, the Alexandria database).

Values from the calculation:
DOS(E_F)   1.127 states/eV/atom
Total magnetization   0.00 μB per atom
V   112.5 Å³/cell

Cell: 3.582 3.472 9.043 Å, 90.00 90.00 90.00°
Element x y z (fractional)
Ho 0.000 0.500 0.466
Ho 0.500 0.500 0.134
Ho 0.500 0.000 0.743
Cu 0.000 0.000 0.991

Most stable structure: i

--- i ---
# Ho3Cu

A relaxed structure of Ho3Cu (PBE, the Alexandria database).

Values from the calculation:
DOS(E_F)   1.272 states/eV/atom
Total magnetization   0.00 μB per atom
V   208.8 Å³/cell

Cell: 3.589 6.412 9.450 Å, 90.00 90.00 106.25°
Element x y z (fractional)
Ho 0.435 0.870 0.750
Ho 0.565 0.130 0.250
Ho 0.135 0.269 0.939
Ho 0.865 0.731 0.061
Ho 0.865 0.731 0.439
Ho 0.135 0.269 0.561
Cu 0.747 0.494 0.750
Cu 0.253 0.506 0.250

--- ii ---
# Ho3Cu

A relaxed structure of Ho3Cu (PBE, the Alexandria database).

Values from the calculation:
DOS(E_F)   1.211 states/eV/atom
Total magnetization   0.00 μB per atom
V   210.7 Å³/cell

Cell: 4.880 6.240 7.519 Å, 90.00 90.00 113.02°
Element x y z (fractional)
Ho 0.456 0.912 0.750
Ho 0.544 0.088 0.250
Ho 0.148 0.296 0.968
Ho 0.852 0.704 0.032
Ho 0.852 0.704 0.468
Ho 0.148 0.296 0.532
Cu 0.701 0.403 0.750
Cu 0.299 0.597 0.250

Most stable structure: i

--- i ---
# La2HoCu

A relaxed structure of La2HoCu (PBE, the Alexandria database).

Values from the calculation:
DOS(E_F)   1.115 states/eV/atom
Total magnetization   0.00 μB per atom
V   122.0 Å³/cell

Cell: 3.747 3.747 10.267 Å, 79.49 79.49 60.00°
Element x y z (fractional)
La 0.070 0.070 0.789
La 0.263 0.263 0.210
Ho 0.499 0.499 0.503
Cu 0.667 0.667 0.998

--- ii ---
# La2HoCu

A relaxed structure of La2HoCu (PBE, the Alexandria database).

Values from the calculation:
DOS(E_F)   1.579 states/eV/atom
Total magnetization   0.00 μB per atom
V   118.0 Å³/cell

Cell: 3.706 3.706 8.589 Å, 90.00 90.00 90.00°
Element x y z (fractional)
Ho 0.500 0.500 0.500
Cu 0.500 0.500 0.000
La 0.000 0.000 0.795
La 0.000 0.000 0.205

--- iii ---
# La2HoCu

A relaxed structure of La2HoCu (PBE, the Alexandria database).

Values from the calculation:
DOS(E_F)   1.553 states/eV/atom
Total magnetization   0.00 μB per atom
V   121.1 Å³/cell

Cell: 3.555 3.555 11.247 Å, 80.91 80.91 60.00°
Element x y z (fractional)
Ho 0.000 0.000 0.000
Cu 0.500 0.500 0.500
La 0.101 0.101 0.697
La 0.899 0.899 0.303

Most stable structure: ii

--- i ---
# LaHo2Cu

A relaxed structure of LaHo2Cu (PBE, the Alexandria database).

Values from the calculation:
DOS(E_F)   0.988 states/eV/atom
Total magnetization   0.00 μB per atom
V   109.3 Å³/cell

Cell: 3.524 3.524 8.800 Å, 90.00 90.00 90.00°
Element x y z (fractional)
Ho 0.000 0.000 0.813
Ho 0.000 0.000 0.187
Cu 0.500 0.500 0.000
La 0.500 0.500 0.500

--- ii ---
# LaHo2Cu

A relaxed structure of LaHo2Cu (PBE, the Alexandria database).

Values from the calculation:
DOS(E_F)   1.252 states/eV/atom
Total magnetization   0.00 μB per atom
V   448.7 Å³/cell

Cell: 6.507 6.869 10.039 Å, 90.00 90.00 90.00°
Element x y z (fractional)
La 0.635 0.506 0.250
La 0.865 0.006 0.250
La 0.365 0.494 0.750
La 0.135 0.994 0.750
Ho 0.177 0.678 0.057
Ho 0.323 0.178 0.443
Ho 0.823 0.322 0.557
Ho 0.677 0.822 0.943
Ho 0.823 0.322 0.943
Ho 0.677 0.822 0.557
Ho 0.177 0.678 0.443
Ho 0.323 0.178 0.057
Cu 0.078 0.392 0.250
Cu 0.422 0.892 0.250
Cu 0.922 0.608 0.750
Cu 0.578 0.108 0.750

--- iii ---
# LaHo2Cu

A relaxed structure of LaHo2Cu (PBE, the Alexandria database).

Values from the calculation:
DOS(E_F)   1.558 states/eV/atom
Total magnetization   0.00 μB per atom
V   115.0 Å³/cell

Cell: 3.661 3.661 10.130 Å, 79.59 79.59 60.00°
Element x y z (fractional)
Ho 0.269 0.269 0.194
Ho 0.731 0.731 0.806
Cu 0.000 0.000 0.000
La 0.500 0.500 0.500

Most stable structure: i